[1]
Density functional theory data (SCAN) for a crystal of Mn2PS relaxed with PBEsol.

Summary:
For the formation energy (no corrections), the calculation gives 18 meV/atom. Its crystal system is cubic.

```
data_Mn2PS
_symmetry_space_group_name_H-M 'F m -3 m'
_symmetry_Int_Tables_number 225
_symmetry_space_group_name_Hall '-F 4 2 3'
_cell_length_a 5.5315
_cell_length_b 5.5315
_cell_length_c 5.5315
_cell_angle_alpha 90.00
_cell_angle_beta 90.00
_cell_angle_gamma 90.00
loop_
_atom_site_label
_atom_site_fract_x
_atom_site_fract_y
_atom_site_fract_z
Mn1 0.2500 0.2500 0.2500
P1 0.0000 0.0000 0.0000
S1 0.0000 0.0000 0.5000
```


[2]
Density functional theory data (SCAN) for a crystal of CuPt2Rh relaxed with PBEsol.

Summary:
The calculation puts the total DFT energy (no corrections) at -189.5 eV for the cell shown. Its crystal system is orthorhombic.

```
data_CuPt2Rh
_symmetry_space_group_name_H-M 'P m m 2'
_symmetry_Int_Tables_number 25
_cell_length_a 2.7220
_cell_length_b 3.7925
_cell_length_c 5.3628
_cell_angle_alpha 90.00
_cell_angle_beta 90.00
_cell_angle_gamma 90.00
loop_
_symmetry_equiv_pos_as_xyz
'x,y,z'
'-x,-y,z'
'-x,y,z'
'x,-y,z'
loop_
_atom_site_label
_atom_site_fract_x
_atom_site_fract_y
_atom_site_fract_z
Cu1 0.0000 0.0000 0.0000
Pt1 0.0000 0.0000 0.5093
Pt2 0.5000 0.5000 0.2390
Rh1 0.5000 0.5000 0.7510
```


[3]
Density functional theory data (SCAN) for a crystal of POs2Br relaxed with PBEsol.

Summary:
For the formation energy (no corrections), the calculation gives 685 meV/atom. Its crystal system is monoclinic. As for the relative energy among the computed polymorphs: 1.02 eV per formula unit.

```
data_POs2Br
_symmetry_space_group_name_H-M 'P 1 2/m 1'
_symmetry_Int_Tables_number 10
_cell_length_a 2.8978
_cell_length_b 3.5276
_cell_length_c 6.7010
_cell_angle_alpha 90.00
_cell_angle_beta 100.63
_cell_angle_gamma 90.00
loop_
_symmetry_equiv_pos_as_xyz
'x,y,z'
'-x,-y,-z'
'-x,y,-z'
'x,-y,z'
loop_
_atom_site_label
_atom_site_fract_x
_atom_site_fract_y
_atom_site_fract_z
P1 0.0000 0.0000 0.0000
Os1 0.3341 0.5000 0.1746
Br1 0.5000 0.0000 0.5000
```


[4]
Density functional theory data (SCAN) for a crystal of CaCdIn2Mo relaxed with PBEsol.

Summary:
The calculation puts the total DFT energy (no corrections) at -134.7 eV for the cell shown. Its crystal system is tetragonal.

```
data_CaCdIn2Mo
_symmetry_space_group_name_H-M 'P 4/m m m'
_symmetry_Int_Tables_number 123
_symmetry_space_group_name_Hall '-P 4 2'
_cell_length_a 5.5763
_cell_length_b 5.5763
_cell_length_c 5.4135
_cell_angle_alpha 90.00
_cell_angle_beta 90.00
_cell_angle_gamma 90.00
loop_
_atom_site_label
_atom_site_fract_x
_atom_site_fract_y
_atom_site_fract_z
Ca1 0.0000 0.0000 0.0000
Cd1 0.0000 0.0000 0.5000
In1 0.0000 0.5000 0.0000
Mo1 0.5000 0.5000 0.5000
```